Version a
A plane-wave DFT calculation with PBE was carried out for Zn3Ir2Au after structural relaxation.

Computed properties:
For the density of states at the Fermi level, the calculation gives 1.37 states/eV/cell. The calculated volume is 87.5 Å³ per cell. The mass density comes out at 14.75 g cm⁻³.

Cell: 3.1858 4.2694 6.7824 Å, 108.41 90.00 90.00°
Fractional coordinates of all 6 atoms:
Ir (0.0000, 0.6612, 0.3234)
Ir (0.0000, 0.3388, 0.6766)
Zn (0.5000, 0.8251, 0.6494)
Zn (0.5000, 0.5000, 0.0000)
Zn (0.5000, 0.1749, 0.3506)
Au (0.0000, 0.0000, 0.0000)

Version b
A plane-wave DFT calculation with PBE was carried out for Zn3Ir2Au after structural relaxation.

Computed properties:
For the density of states at the Fermi level, the calculation gives 3.02 states/eV/cell. The calculated volume is 88.9 Å³ per cell. The mass density comes out at 14.53 g cm⁻³.

Cell: 2.9203 2.9203 10.4246 Å, 90.00 90.00 90.00°
Fractional coordinates of all 6 atoms:
Zn (0.0000, 0.0000, 0.0000)
Ir (0.5000, 0.5000, 0.8402)
Zn (0.0000, 0.0000, 0.6845)
Ir (0.5000, 0.5000, 0.1598)
Au (0.5000, 0.5000, 0.5000)
Zn (0.0000, 0.0000, 0.3155)

Which structure is the least stable? The one labeled version b.

Version a
A plane-wave DFT calculation with PBE was carried out for ZnIrAu3 after structural relaxation.

Computed properties:
For the density of states at the Fermi level, the calculation gives 3.29 states/eV/cell. The calculated volume is 101.9 Å³ per cell. The mass density comes out at 13.83 g cm⁻³.

Cell: 4.6704 4.6704 4.6704 Å, 90.00 90.00 90.00°
Fractional coordinates of all 5 atoms:
Au (0.0000, 0.0000, 0.5000)
Ir (0.5000, 0.5000, 0.5000)
Zn (0.0000, 0.0000, 0.0000)
Au (0.5000, 0.0000, 0.0000)
Au (0.0000, 0.5000, 0.0000)

Version b
A plane-wave DFT calculation with PBE was carried out for ZnIrAu3 after structural relaxation.

Computed properties:
For the density of states at the Fermi level, the calculation gives 6.23 states/eV/cell. The calculated volume is 128.8 Å³ per cell. The mass density comes out at 10.94 g cm⁻³.

Cell: 5.0499 5.0499 5.0499 Å, 90.00 90.00 90.00°
Fractional coordinates of all 5 atoms:
Au (0.0000, 0.0000, 0.5000)
Au (0.5000, 0.0000, 0.0000)
Au (0.0000, 0.5000, 0.0000)
Zn (0.5000, 0.5000, 0.5000)
Ir (0.0000, 0.0000, 0.0000)

Which structure is the least stable? The one labeled version a.

Version a
A plane-wave DFT calculation with PBE was carried out for ZrZnIrAu after structural relaxation.

Computed properties:
For the density of states at the Fermi level, the calculation gives 0.83 states/eV/cell. The calculated volume is 67.5 Å³ per cell. The mass density comes out at 13.43 g cm⁻³.

Cell: 4.1297 4.1299 4.9172 Å, 114.83 114.83 90.00°
Fractional coordinates of all 4 atoms:
Ir (0.2500, 0.7500, 0.5000)
Au (0.7500, 0.2500, 0.5000)
Zn (0.5000, 0.5000, 0.0000)
Zr (0.0000, 0.0000, 0.0000)

Version b
A plane-wave DFT calculation with PBE was carried out for ZrZnIrAu after structural relaxation.

Computed properties:
For the density of states at the Fermi level, the calculation gives 2.12 states/eV/cell. The calculated volume is 69.0 Å³ per cell. The mass density comes out at 13.14 g cm⁻³.

Cell: 4.6036 4.6036 4.6036 Å, 60.00 60.00 60.00°
Fractional coordinates of all 4 atoms:
Zr (0.5000, 0.5000, 0.5000)
Au (0.2500, 0.2500, 0.2500)
Ir (0.7500, 0.7500, 0.7500)
Zn (0.0000, 0.0000, 0.0000)

Which structure is the least stable? The one labeled version b.